# CrOs2PbO8 PBE with a Hubbard U optimized geometry
# - Total moment: 5.95 Bohr magnetons per cell
# - D(E_F): 6.14 states/eV/cell
# - E: -84.68 eV/f.u.
# - Crystal system: trigonal
data_CrOs2PbO8
_chemical_formula_sum 'Cr1 Os2 Pb1 O8'
_space_group_name_H-M_alt 'P -3'
_space_group_IT_number 147
_cell_length_a 5.5334
_cell_length_b 5.5334
_cell_length_c 7.1041
_cell_angle_alpha 90.00
_cell_angle_beta 90.00
_cell_angle_gamma 120.00
loop_
_space_group_symop_operation_xyz
'x,y,z'
'-x,-y,-z'
'-y,x-y,z'
'y,-x+y,-z'
'-x+y,-x,z'
'x-y,x,-z'
loop_
_atom_site_label
_atom_site_fract_x
_atom_site_fract_y
_atom_site_fract_z
Cr1 0.0000 0.0000 0.0000
Os1 0.3333 0.6667 0.2239
Pb1 0.0000 0.0000 0.5000
O1 0.0571 0.3065 0.1826
O2 0.3333 0.6667 0.4781